[1]
First-principles (PBE) data for an optimized crystal structure of CeHgPd, as listed in Alexandria.

## Properties
SG: Pmma
DOS(E_F): 2.13 states/eV per atom
crystal system: orthorhombic
VASP energy: -79.2 eV/cell
calculated formation energy: -0.59 eV per atom
theoretical density: 10.72 g/cm3
excess energy over the best structure of this formula in the dataset: 0.016 eV per atom

Unit cell a=13.7025 b=3.8435 c=7.8875 alpha=90.00 beta=90.00 gamma=90.00
Positions (direct):
Ce (0.0511, 0.0000, 0.2353)
Ce (0.2500, 0.0000, 0.8332)
Ce (0.4489, 0.0000, 0.2353)
Ce (0.5511, 0.0000, 0.7647)
Ce (0.7500, 0.0000, 0.1668)
Ce (0.9489, 0.0000, 0.7647)
Hg (0.1101, 0.5000, 0.5683)
Hg (0.2500, 0.5000, 0.1797)
Hg (0.3899, 0.5000, 0.5683)
Hg (0.6101, 0.5000, 0.4317)
Hg (0.7500, 0.5000, 0.8203)
Hg (0.8899, 0.5000, 0.4317)
Pd (0.0945, 0.5000, 0.9339)
Pd (0.2500, 0.0000, 0.4472)
Pd (0.4055, 0.5000, 0.9339)
Pd (0.5945, 0.5000, 0.0661)
Pd (0.7500, 0.0000, 0.5528)
Pd (0.9055, 0.5000, 0.0661)


[2]
First-principles (PBE) data for an optimized crystal structure of Ho4GaAg2, as listed in Alexandria.

## Properties
SG: R-3m
DOS(E_F): 0.92 states/eV per atom
crystal system: trigonal
VASP energy: -28.8 eV/cell
calculated formation energy: -0.25 eV per atom
theoretical density: 8.70 g/cm3
excess energy over the best structure of this formula in the dataset: 0.000 eV per atom

Unit cell a=8.6492 b=8.6492 c=8.6492 alpha=34.00 beta=34.00 gamma=34.00
Positions (direct):
Ho (0.1214, 0.1214, 0.1214)
Ho (0.3737, 0.3737, 0.3737)
Ho (0.6263, 0.6263, 0.6263)
Ho (0.8786, 0.8786, 0.8786)
Ga (0.5000, 0.5000, 0.5000)
Ag (0.2479, 0.2479, 0.2479)
Ag (0.7521, 0.7521, 0.7521)


[3]
First-principles (PBE) data for an optimized crystal structure of LiTm6Cu5, as listed in Alexandria.

## Properties
SG: Cmmm
DOS(E_F): 0.50 states/eV per atom
crystal system: orthorhombic
VASP energy: -51.9 eV/cell
calculated formation energy: -0.23 eV per atom
theoretical density: 9.09 g/cm3

Unit cell a=7.7264 b=7.7264 c=6.8463 alpha=90.00 beta=90.00 gamma=143.24
Positions (direct):
Li (0.0000, 0.0000, 0.0000)
Tm (0.1699, 0.8301, 0.2526)
Tm (0.1699, 0.8301, 0.7474)
Tm (0.5000, 0.5000, 0.2585)
Tm (0.5000, 0.5000, 0.7415)
Tm (0.8301, 0.1699, 0.2526)
Tm (0.8301, 0.1699, 0.7474)
Cu (0.0000, 0.0000, 0.5000)
Cu (0.3323, 0.6677, 0.5000)
Cu (0.3423, 0.6577, 0.0000)
Cu (0.6577, 0.3423, 0.0000)
Cu (0.6677, 0.3323, 0.5000)


[4]
First-principles (PBE) data for an optimized crystal structure of Ac2CeCd, as listed in Alexandria.

## Properties
SG: P4/mmm
DOS(E_F): 2.02 states/eV per atom
crystal system: tetragonal
VASP energy: -15.2 eV/cell
calculated formation energy: -0.05 eV per atom
theoretical density: 8.18 g/cm3
excess energy over the best structure of this formula in the dataset: 0.000 eV per atom

Unit cell a=3.9081 b=3.9081 c=9.3880 alpha=90.00 beta=90.00 gamma=90.00
Positions (direct):
Ac (0.0000, 0.0000, 0.2314)
Ac (0.0000, 0.0000, 0.7686)
Ce (0.5000, 0.5000, 0.5000)
Cd (0.5000, 0.5000, 0.0000)


[5]
First-principles (PBE) data for an optimized crystal structure of La3In8Ag3, as listed in Alexandria.

## Properties
SG: Immm
DOS(E_F): 0.25 states/eV per atom
crystal system: orthorhombic
VASP energy: -50.5 eV/cell
calculated formation energy: -0.38 eV per atom
theoretical density: 7.74 g/cm3

Unit cell a=9.0726 b=9.0726 c=9.0726 alpha=148.83 beta=110.11 gamma=78.49
Positions (direct):
La (0.0000, 0.0000, 0.0000)
La (0.2958, 0.2958, 0.0000)
La (0.7042, 0.7042, 0.0000)
In (0.0114, 0.6491, 0.3623)
In (0.1559, 0.8633, 0.2926)
In (0.2868, 0.6491, 0.6377)
In (0.4293, 0.1367, 0.2926)
In (0.5707, 0.8633, 0.7074)
In (0.7132, 0.3509, 0.3623)
In (0.8441, 0.1367, 0.7074)
In (0.9886, 0.3509, 0.6377)
Ag (0.3357, 0.5000, 0.8357)
Ag (0.5000, 0.0000, 0.5000)
Ag (0.6643, 0.5000, 0.1643)


[6]
First-principles (PBE) data for an optimized crystal structure of Cd3Ag, as listed in Alexandria.

## Properties
SG: P-6m2
DOS(E_F): 0.18 states/eV per atom
crystal system: hexagonal
VASP energy: -5.7 eV/cell
calculated formation energy: -0.02 eV per atom
theoretical density: 8.90 g/cm3

Unit cell a=3.1268 b=3.1268 c=9.8068 alpha=90.00 beta=90.00 gamma=120.00
Positions (direct):
Cd (0.0000, 0.0000, 0.0000)
Cd (0.3333, 0.6667, 0.2630)
Cd (0.3333, 0.6667, 0.7370)
Ag (0.0000, 0.0000, 0.5000)


Question: What is the theoretical density in the first record?
Answer: 10.72 g/cm3